1.
Computed, not measured: KAcMg4 after structural relaxation at the PBE level of DFT. Values from VASP.

**VASP energy**: -1.87 eV per atom
**ΔE_f**: 0.374 eV/f.u.
**Space group**: No. 216

Structure (Quantum ESPRESSO input):
```
&SYSTEM
  ibrav = 0, nat = 6, ntyp = 3
/
ATOMIC_SPECIES
Mg 24.30 Mg.upf
Ac 227.00 Ac.upf
K 39.10 K.upf
ATOMIC_POSITIONS angstrom
Mg -1.9463 0.4303 -9.6859
Mg -2.9755 1.3052 -6.7344
Mg 0.2041 1.1960 -7.3781
Mg -1.5026 -1.5562 -7.1575
Ac 0.0000 0.0000 0.0000
K -0.7775 0.1719 -3.8695
CELL_PARAMETERS angstrom
-0.8818 3.9482 -5.0252
2.0455 -1.7389 -5.8661
-4.2739 -1.5217 -4.5866
```

2.
Computed, not measured: KAc2Mg after structural relaxation at the PBE level of DFT. Values from VASP.

**VASP energy**: -2.53 eV per atom
**ΔE_f**: 0.799 eV/f.u.
**Space group**: No. 166

Structure (Quantum ESPRESSO input):
```
&SYSTEM
  ibrav = 0, nat = 4, ntyp = 3
/
ATOMIC_SPECIES
Mg 24.30 Mg.upf
Ac 227.00 Ac.upf
K 39.10 K.upf
ATOMIC_POSITIONS angstrom
Mg 3.2022 -3.8928 6.4613
Ac 6.0158 -5.6767 5.2909
Ac 0.3886 -2.1088 7.6318
K 0.0000 0.0000 0.0000
CELL_PARAMETERS angstrom
-0.1543 1.7467 3.4933
-2.4243 -1.3482 2.7537
8.9830 -8.1840 6.6756
```